#a
The following is a DFT calculation (PBE) of Mg2P after structural relaxation.

## Properties
- space group = C2/m (12)

Cell lengths 7.2534, 7.2534, 4.4795 Å; angles 106.36, 106.36, 129.38 degrees
With the nearest neighbours (Å) after each atom.
Sites, in units of the cell vectors:
Mg1 0.2380 0.2380 0.4978  2 P 2.60
Mg2 0.2446 0.7554 0.0000  4 P 2.60-2.62
Mg3 0.7554 0.2446 0.0000  4 P 2.60-2.62
Mg4 0.7620 0.7620 0.5022  2 P 2.60
P1 0.3447 0.6553 0.5000  6 Mg 2.60-2.62
P2 0.6553 0.3447 0.5000  6 Mg 2.60-2.62

=====

#b
The following is a DFT calculation (PBE) of Mg2P after structural relaxation.

## Properties
- space group = I4/mmm (139)

Cell lengths 7.4198, 7.4198, 7.4198 Å; angles 148.61, 148.61, 44.98 degrees
With the nearest neighbours (Å) after each atom.
Sites, in units of the cell vectors:
Mg1 0.0000 0.5000 0.5000  4 P 2.75, 4 Mg 2.84
Mg2 0.1746 0.1746 0.0000  5 P 2.58-2.88
Mg3 0.5000 0.0000 0.5000  4 P 2.75, 4 Mg 2.84
Mg4 0.8254 0.8254 0.0000  5 P 2.58-2.88
P1 0.3630 0.3630 0.0000  9 Mg 2.58-2.88
P2 0.6370 0.6370 0.0000  9 Mg 2.58-2.88

=====

#c
The following is a DFT calculation (PBE) of Mg2P after structural relaxation.

## Properties
- space group = Pa-3 (205)

Cell lengths 6.3624, 6.3624, 6.3624 Å; angles 90.00, 90.00, 90.00 degrees
With the nearest neighbours (Å) after each atom.
Sites, in units of the cell vectors:
Mg1 0.1436 0.1436 0.1436  3 P 2.61
Mg2 0.1436 0.3564 0.6436  3 P 2.61
Mg3 0.3564 0.6436 0.1436  3 P 2.61
Mg4 0.3564 0.8564 0.6436  3 P 2.61
Mg5 0.6436 0.1436 0.3564  3 P 2.61
Mg6 0.6436 0.3564 0.8564  3 P 2.61
Mg7 0.8564 0.6436 0.3564  3 P 2.61
Mg8 0.8564 0.8564 0.8564  3 P 2.61
P1 0.0000 0.0000 0.5000  6 Mg 2.61
P2 0.0000 0.5000 0.0000  6 Mg 2.61
P3 0.5000 0.0000 0.0000  6 Mg 2.61
P4 0.5000 0.5000 0.5000  6 Mg 2.61

=====

#d
The following is a DFT calculation (PBE) of Mg2P after structural relaxation.

## Properties
- space group = C2/m (12)

Cell lengths 6.1117, 6.1117, 6.8746 Å; angles 118.66, 118.66, 33.96 degrees
With the nearest neighbours (Å) after each atom.
Sites, in units of the cell vectors:
Mg1 0.1225 0.1225 0.4946  4 P 2.76-2.85, 1 Mg 2.90
Mg2 0.1684 0.1684 0.0798  3 P 2.57-2.64
Mg3 0.8316 0.8316 0.9202  3 P 2.57-2.64
Mg4 0.8775 0.8775 0.5054  4 P 2.76-2.85, 1 Mg 2.90
P1 0.4252 0.4252 0.2300  7 Mg 2.57-2.85
P2 0.5748 0.5748 0.7700  7 Mg 2.57-2.85

=====

Name the most stable of them. #b.

=====

#a
The following is a DFT calculation (PBE) of Mg2P after structural relaxation.

## Properties
- space group = Cmcm (63)

Cell lengths 7.9403, 7.9403, 3.9720 Å; angles 90.00, 90.00, 150.40 degrees
With the nearest neighbours (Å) after each atom.
Sites, in units of the cell vectors:
Mg1 0.0806 0.9194 0.7500  4 P 2.98, 6 Mg 3.17-3.30
Mg2 0.2495 0.7505 0.2500  4 P 2.62-2.64, 4 Mg 2.84
Mg3 0.7505 0.2495 0.7500  4 P 2.62-2.64, 4 Mg 2.84
Mg4 0.9194 0.0806 0.2500  4 P 2.98, 6 Mg 3.17-3.30
P1 0.3604 0.6396 0.7500  4 Mg 2.62-2.64
P2 0.6396 0.3604 0.2500  4 Mg 2.62-2.64

=====

#b
The following is a DFT calculation (PBE) of Mg2P after structural relaxation.

## Properties
- space group = P-1 (2)

Cell lengths 3.9860, 5.1240, 6.5211 Å; angles 69.77, 85.82, 86.91 degrees
With the nearest neighbours (Å) after each atom.
Sites, in units of the cell vectors:
Mg1 0.2099 0.2706 0.4372  3 P 2.64-2.71
Mg2 0.2552 0.2748 0.9273  4 P 2.60-2.70
Mg3 0.7448 0.7252 0.0727  4 P 2.60-2.70
Mg4 0.7901 0.7294 0.5628  3 P 2.64-2.71
P1 0.2678 0.8341 0.7977  7 Mg 2.60-2.71
P2 0.7322 0.1659 0.2023  7 Mg 2.60-2.71

=====

#c
The following is a DFT calculation (PBE) of Mg2P after structural relaxation.

## Properties
- space group = P-1 (2)

Cell lengths 4.1357, 4.1473, 9.3836 Å; angles 88.61, 89.06, 60.47 degrees
With the nearest neighbours (Å) after each atom.
Sites, in units of the cell vectors:
Mg1 0.0034 0.0234 0.1532  3 P 2.79-2.84, 1 Mg 2.89
Mg2 0.3307 0.3259 0.5991  4 P 2.54-2.70
Mg3 0.6693 0.6741 0.4009  4 P 2.54-2.70
Mg4 0.9966 0.9766 0.8468  3 P 2.79-2.84, 1 Mg 2.89
P1 0.3364 0.3432 0.3110  7 Mg 2.54-2.84
P2 0.6636 0.6568 0.6890  7 Mg 2.54-2.84

=====

#d
The following is a DFT calculation (PBE) of Mg2P after structural relaxation.

## Properties
- space group = P1 (1)

Cell lengths 4.1013, 4.1024, 9.2730 Å; angles 77.32, 77.34, 60.06 degrees
With the nearest neighbours (Å) after each atom.
Sites, in units of the cell vectors:
Mg1 0.0000 0.0000 0.0000  4 P 2.52-2.72
Mg2 0.1792 0.1753 0.4706  3 P 2.80-2.81
Mg3 0.4185 0.4189 0.7391  3 P 2.80
Mg4 0.5982 0.5973 0.2089  4 P 2.52-2.72
P1 0.6978 0.6977 0.9054  7 Mg 2.52-2.80
P2 0.9004 0.8992 0.3035  7 Mg 2.52-2.81

=====

Name the most stable of them. #b.

=====

#a
The following is a DFT calculation (PBE) of Mg2P after structural relaxation.

## Properties
- space group = Pn-3m (224)

Cell lengths 5.6667, 5.6667, 5.6667 Å; angles 90.00, 90.00, 90.00 degrees
With the nearest neighbours (Å) after each atom.
Sites, in units of the cell vectors:
Mg1 0.0000 0.0000 0.0000  2 P 2.45
Mg2 0.0000 0.5000 0.5000  2 P 2.45
Mg3 0.5000 0.0000 0.5000  2 P 2.45
Mg4 0.5000 0.5000 0.0000  2 P 2.45
P1 0.2500 0.2500 0.2500  4 Mg 2.45
P2 0.7500 0.7500 0.7500  4 Mg 2.45

=====

#b
The following is a DFT calculation (PBE) of Mg2P after structural relaxation.

## Properties
- space group = P4/mmm (123)

Cell lengths 4.1545, 4.1545, 3.5721 Å; angles 90.00, 90.00, 90.00 degrees
With the nearest neighbours (Å) after each atom.
Sites, in units of the cell vectors:
Mg1 0.0000 0.5000 0.0000  4 P 2.74, 4 Mg 2.94
Mg2 0.5000 0.0000 0.0000  4 P 2.74, 4 Mg 2.94
P1 0.0000 0.0000 0.5000  8 Mg 2.74

=====

#c
The following is a DFT calculation (PBE) of Mg2P after structural relaxation.

## Properties
- space group = P4/nmm (129)

Cell lengths 4.1079, 4.1079, 6.7527 Å; angles 90.00, 90.00, 90.00 degrees
With the nearest neighbours (Å) after each atom.
Sites, in units of the cell vectors:
Mg1 0.2500 0.2500 0.1442  1 P 2.62
Mg2 0.2500 0.7500 0.5000  4 P 2.69, 4 Mg 2.90
Mg3 0.7500 0.2500 0.5000  4 P 2.69, 4 Mg 2.90
Mg4 0.7500 0.7500 0.8558  1 P 2.62
P1 0.2500 0.2500 0.7567  5 Mg 2.62-2.69
P2 0.7500 0.7500 0.2433  5 Mg 2.62-2.69

=====

Name the most stable of them. #c.